The following is a DFT calculation (PBEsol) of a relaxed Tl2AsBr crystal.

Cell: 3.520 3.520 8.399 Å, 90.00 90.00 90.00°
Space group P4/mmm (No. 123)
Asymmetric unit:
Tl 0.000 0.000 0.243
As 0.500 0.500 0.000
Br 0.500 0.500 0.500

Output
The calculated total energy is -12.6 eV per cell.

---

The following is a DFT calculation (PBEsol) of a relaxed TaNiP crystal.

Cell: 6.049 3.556 7.031 Å, 90.00 90.00 90.00°
Space group Pnma (No. 62)
Asymmetric unit:
Ta 0.021 0.250 0.167
Ni 0.151 0.250 0.569
P 0.218 0.750 0.378

Output
The formation energy is -2.54 eV/f.u.

---

The following is a DFT calculation (PBEsol) of a relaxed SrSb2Os crystal.

Cell: 3.5165 3.5165 28.1064 Å, 90.00 90.00 120.00°
Space group R3m (No. 160, hexagonal axes)
Asymmetric unit:
Sr 0.0000 0.0000 0.0000
Sb 0.0000 0.0000 0.2359
Sb 0.0000 0.0000 0.4745
Os 0.0000 0.0000 0.7498

Output
The calculated total energy is -64.8 eV per cell.

---

The following is a DFT calculation (PBEsol) of a relaxed KAs2SeF crystal.

Cell: 4.480 4.480 5.257 Å, 90.00 90.00 90.00°
Space group P4/mmm (No. 123)
Asymmetric unit:
K 0.000 0.000 0.000
As 0.000 0.500 0.500
Se 0.500 0.500 0.000
F 0.500 0.500 0.500

Output
The calculated total energy is -17.5 eV per cell.

---

Going through the records in order, we get total magnetization values of 0.00; 0.00; 0.00; 0.00 μB/f.u..
Going through the records in order, we get DOS(E_F) values of 0.514; 0.194; 0.756; 0.765 states/eV/atom.